# 1
# Ba3UN3

A relaxed Ba3UN3 crystal (GGA-PBE, the Alexandria database).

Values from the calculation:
Crystal system: orthorhombic
Calculated density in Mg/m³: 5.6
Formation energy without anion corrections in eV per atom: -0.710

Lattice parameters (Å, degrees): 9.513 9.513 9.913 90.00 90.00 65.54
Fractional coordinates of all 28 atoms:
Ba 0.006 0.342 0.881
Ba 0.158 0.494 0.619
Ba 0.201 0.799 0.846
Ba 0.299 0.701 0.346
Ba 0.342 0.006 0.119
Ba 0.494 0.158 0.381
Ba 0.506 0.842 0.619
Ba 0.658 0.994 0.881
Ba 0.701 0.299 0.654
Ba 0.799 0.201 0.154
Ba 0.842 0.506 0.381
Ba 0.994 0.658 0.119
U 0.108 0.108 0.500
U 0.392 0.392 0.000
U 0.608 0.608 0.000
U 0.892 0.892 0.500
N 0.007 0.695 0.394
N 0.103 0.897 0.583
N 0.195 0.507 0.894
N 0.305 0.993 0.394
N 0.397 0.603 0.083
N 0.493 0.805 0.894
N 0.507 0.195 0.106
N 0.603 0.397 0.917
N 0.695 0.007 0.606
N 0.805 0.493 0.106
N 0.897 0.103 0.417
N 0.993 0.305 0.606


# 2
# BaUN2

A relaxed BaUN2 crystal (GGA-PBE, the Alexandria database).

Values from the calculation:
Crystal system: trigonal
Calculated density in Mg/m³: 9.1
Formation energy without anion corrections in eV per atom: -0.959

Lattice parameters (Å, degrees): 6.950 6.950 6.950 29.77 29.77 29.77
Fractional coordinates of all 4 atoms:
Ba 0.000 0.000 0.000
U 0.824 0.824 0.824
N 0.209 0.209 0.209
N 0.435 0.435 0.435


# 3
# Ba2UVN5

A relaxed Ba2UVN5 crystal (GGA-PBE, the Alexandria database).

Values from the calculation:
Crystal system: orthorhombic
Calculated density in Mg/m³: 6.6
Formation energy without anion corrections in eV per atom: -1.020

Lattice parameters (Å, degrees): 7.772 7.772 11.750 90.00 90.00 153.14
Fractional coordinates of all 18 atoms:
Ba 0.106 0.894 0.500
Ba 0.138 0.862 0.156
Ba 0.862 0.138 0.656
Ba 0.894 0.106 0.000
U 0.199 0.801 0.860
U 0.801 0.199 0.360
V 0.449 0.551 0.260
V 0.551 0.449 0.760
N 0.049 0.951 0.828
N 0.291 0.709 0.467
N 0.329 0.671 0.237
N 0.330 0.670 0.836
N 0.500 0.500 0.132
N 0.500 0.500 0.632
N 0.670 0.330 0.336
N 0.671 0.329 0.737
N 0.709 0.291 0.967
N 0.951 0.049 0.328